{
  "formula": "KZrPCO7",
  "functional": "PBE-GGA",
  "state": "relaxed",
  "energy_ev_per_cell": -169.37,
  "formation_energy_uncorrected_ev_per_atom": -2.34,
  "m_tot_mub_per_fu": 0.07,
  "dos_at_fermi_per_ev_cell": 0.0,
  "crystal_system": "monoclinic",
  "lattice_angstrom": [[5.412, 0.000, 0.000], [0.000, 6.720, 0.000], [-0.694, 0.000, 9.889]],
  "species": ["K", "K", "Zr", "Zr", "P", "P", "C", "C", "O", "O", "O", "O", "O", "O", "O", "O", "O", "O", "O", "O", "O", "O"],
  "fractional_positions": [[0.070, 0.000, 0.116], [0.930, 0.500, 0.884], [0.271, 0.875, 0.658], [0.729, 0.375, 0.342], [0.267, 0.373, 0.570], [0.733, 0.873, 0.430], [0.488, 0.860, 0.903], [0.512, 0.360, 0.097], [0.062, 0.369, 0.455], [0.240, 0.866, 0.873], [0.241, 0.558, 0.660], [0.252, 0.186, 0.660], [0.388, 0.346, 0.207], [0.418, 0.367, 0.979], [0.480, 0.876, 0.494], [0.520, 0.376, 0.506], [0.582, 0.867, 0.021], [0.612, 0.846, 0.793], [0.748, 0.686, 0.340], [0.759, 0.058, 0.340], [0.760, 0.366, 0.127], [0.938, 0.869, 0.545]]
}